# 1
Density functional theory data (PBE) for TmHgGeTe3 after structural relaxation.

## Properties
VASP energy   -43.7 eV/cell
Crystal system   orthorhombic

Cell: 8.067 8.067 11.616 Å, 90.00 90.00 147.69°
Sites, in units of the cell vectors:
Te 0.067 0.933 0.750
Te 0.367 0.633 0.952
Te 0.367 0.633 0.548
Hg 0.256 0.744 0.250
Tm 0.000 0.000 0.500
Hg 0.744 0.256 0.750
Ge 0.457 0.543 0.750
Te 0.933 0.067 0.250
Te 0.633 0.367 0.452
Tm 0.000 0.000 0.000
Te 0.633 0.367 0.048
Ge 0.543 0.457 0.250


# 2
Density functional theory data (PBE) for ZnHgGeTe3 after structural relaxation.

## Properties
Energy relative to the lowest polymorph listed for this composition   0 meV per atom
Crystal system   orthorhombic

Cell: 11.256 7.741 7.741 Å, 149.58 90.00 90.00°
Sites, in units of the cell vectors:
Te 0.250 0.921 0.079
Zn 0.750 0.463 0.537
Te 0.921 0.340 0.660
Ge 0.250 0.230 0.770
Hg 0.500 0.000 0.000
Hg 0.000 0.000 0.000
Zn 0.250 0.537 0.463
Te 0.750 0.079 0.921
Ge 0.750 0.770 0.230
Te 0.079 0.660 0.340
Te 0.579 0.340 0.660
Te 0.421 0.660 0.340


# 3
Density functional theory data (PBE) for ZnHgGeTe3 after structural relaxation.

## Properties
Energy relative to the lowest polymorph listed for this composition   50 meV per atom
Crystal system   orthorhombic

Cell: 4.040 7.246 12.678 Å, 90.00 90.00 73.81°
Sites, in units of the cell vectors:
Hg 0.437 0.126 0.750
Te 0.889 0.223 0.250
Hg 0.563 0.874 0.250
Te 0.632 0.736 0.452
Ge 0.745 0.510 0.750
Zn 0.000 0.000 0.000
Te 0.111 0.777 0.750
Te 0.368 0.264 0.548
Te 0.368 0.264 0.952
Ge 0.255 0.490 0.250
Zn 0.000 0.000 0.500
Te 0.632 0.736 0.048


# 4
Density functional theory data (PBE) for TlHgGe after structural relaxation.

## Properties
Energy relative to the lowest polymorph listed for this composition   0 meV per atom
Crystal system   cubic

Cell: 4.895 4.895 4.895 Å, 60.00 60.00 60.00°
Sites, in units of the cell vectors:
Ge 0.250 0.250 0.250
Hg 0.000 0.000 0.000
Tl 0.750 0.750 0.750


# 5
Density functional theory data (PBE) for Tl2HgGe after structural relaxation.

## Properties
VASP energy   -8.9 eV/cell
Crystal system   cubic

Cell: 5.312 5.312 5.312 Å, 60.00 60.00 60.00°
Sites, in units of the cell vectors:
Hg 0.250 0.250 0.250
Tl 0.000 0.000 0.000
Ge 0.500 0.500 0.500
Tl 0.750 0.750 0.750


# 6
Density functional theory data (PBE) for Tl2Hg2Ge3 after structural relaxation.

## Properties
VASP energy   -17.3 eV/cell
Crystal system   trigonal

Cell: 8.455 8.455 8.455 Å, 34.86 34.86 34.86°
Sites, in units of the cell vectors:
Hg 0.009 0.009 0.009
Tl 0.237 0.237 0.237
Ge 0.367 0.367 0.367
Ge 0.627 0.627 0.627
Hg 0.493 0.493 0.493
Ge 0.885 0.885 0.885
Tl 0.759 0.759 0.759